## Tb3Y8 (PBE)

Data for a relaxed structure of Tb3Y8.

Calculated values
SG: R-3, No. 148
Energy relative to the lowest polymorph listed for this composition in meV/atom: 148.3

a b c (Å): 7.169 7.169 7.169
angles (deg): 85.09 85.09 85.09
Fractional coordinates of all 11 atoms:
Y 0.150 0.883 0.304
Y 0.850 0.117 0.696
Y 0.620 0.620 0.620
Y 0.696 0.850 0.117
Y 0.304 0.150 0.883
Y 0.380 0.380 0.380
Y 0.117 0.696 0.850
Y 0.883 0.304 0.150
Tb 0.500 0.500 0.000
Tb 0.500 0.000 0.500
Tb 0.000 0.500 0.500

## Tb2Y5 (PBE)

Data for a relaxed structure of Tb2Y5.

Calculated values
SG: C2/c, No. 15

a b c (Å): 6.316 9.239 8.482
angles (deg): 95.73 111.86 90.00
Fractional coordinates of all 14 atoms:
Y 0.120 0.678 0.571
Y 0.880 0.322 0.429
Y 0.832 0.250 0.000
Y 0.976 0.964 0.285
Y 0.024 0.036 0.715
Y 0.451 0.178 0.571
Y 0.691 0.536 0.715
Y 0.168 0.750 0.000
Y 0.549 0.822 0.429
Y 0.309 0.464 0.285
Tb 0.262 0.393 0.857
Tb 0.738 0.607 0.143
Tb 0.595 0.893 0.857
Tb 0.405 0.107 0.143

## TbY4 (PBE)

Data for a relaxed structure of TbY4.

Calculated values
SG: C2/m, No. 12
Energy relative to the lowest polymorph listed for this composition in meV/atom: 0.0

a b c (Å): 3.570 3.570 14.678
angles (deg): 83.15 83.15 60.03
Fractional coordinates of all 5 atoms:
Y 0.601 0.601 0.199
Y 0.399 0.399 0.801
Y 0.200 0.200 0.400
Y 0.800 0.800 0.600
Tb 0.000 0.000 0.000

## Tb3Y5 (PBE)

Data for a relaxed structure of Tb3Y5.

Calculated values
SG: Pmm2, No. 25

a b c (Å): 3.648 5.659 12.633
angles (deg): 90.00 90.00 90.00
Fractional coordinates of all 8 atoms:
Tb 0.000 0.500 0.790
Tb 0.500 0.500 0.542
Tb 0.500 0.000 0.709
Y 0.500 0.000 0.208
Y 0.000 0.500 0.292
Y 0.000 0.000 0.958
Y 0.000 0.000 0.459
Y 0.500 0.500 0.041

Summary of calculated formation energy in eV/atom
0.55, 0.00, 0.02, 0.00
(order as listed above)